The following is a DFT calculation (PBE) of a geometry-optimized CaCuI2 structure.

Geometry as POSCAR:
```
CaCuI2
1.0
1.483 -5.077 -1.367
-3.265 -3.045 -3.148
1.446 -1.132 -5.145
I Cu Ca
2 1 1
direct
0.250 0.250 0.250
0.750 0.750 0.750
0.500 0.500 0.500
0.000 0.000 0.000
```

Values from the calculation:
* V: 115.3 Å³/cell
* energy relative to the lowest polymorph listed for this composition: 0 meV/atom
* density: 5.1 g cm⁻³
* space-group type: Fm-3m
* E_form (uncorrected): -1.766 eV per formula unit

The following is a DFT calculation (PBE) of a geometry-optimized K2CaCu2I6 structure.

Geometry as POSCAR:
```
K2CaCu2I6
1.0
8.459 0.000 0.000
-4.229 6.956 -0.125
0.000 -4.117 7.916
I K Cu Ca
6 2 2 1
direct
0.808 0.125 0.801
0.683 0.875 0.199
0.253 0.507 0.410
0.192 0.875 0.199
0.747 0.493 0.590
0.317 0.125 0.801
0.718 0.437 0.181
0.282 0.563 0.819
0.953 0.907 0.734
0.047 0.093 0.266
0.500 0.000 0.500
```

Values from the calculation:
* V: 461.4 Å³/cell
* density: 3.6 g cm⁻³
* space-group type: C2/m
* E_form (uncorrected): -10.741 eV per formula unit

The following is a DFT calculation (PBE) of a geometry-optimized KCa3Cu4I12 structure.

Geometry as POSCAR:
```
KCa3Cu4I12
1.0
-7.046 -6.993 1.126
8.520 -4.412 2.785
-1.879 6.762 7.111
Ca I Cu K
3 12 4 1
direct
0.443 0.000 0.557
0.557 0.443 0.000
0.000 0.557 0.443
0.345 0.974 0.225
0.906 0.500 0.094
0.341 0.659 0.500
0.659 0.500 0.341
0.500 0.341 0.659
0.775 0.026 0.655
0.094 0.906 0.500
0.974 0.225 0.345
0.655 0.775 0.026
0.225 0.345 0.974
0.026 0.655 0.775
0.500 0.094 0.906
0.070 0.500 0.930
0.930 0.070 0.500
0.500 0.500 0.500
0.500 0.930 0.070
0.000 0.000 0.000
```

Values from the calculation:
* V: 869.6 Å³/cell
* density: 3.7 g cm⁻³
* space-group type: R32
* E_form (uncorrected): -17.322 eV per formula unit

The following is a DFT calculation (PBE) of a geometry-optimized K2CaCuI5 structure.

Geometry as POSCAR:
```
K2CaCuI5
1.0
4.566 0.000 0.000
-2.283 10.452 0.000
0.000 0.000 14.921
I Cu K Ca
10 2 4 2
direct
0.307 0.615 0.376
0.497 0.993 0.274
0.654 0.309 0.513
0.693 0.385 0.876
0.346 0.691 0.013
0.953 0.906 0.516
0.299 0.597 0.671
0.047 0.094 0.016
0.503 0.007 0.774
0.701 0.403 0.171
0.434 0.867 0.425
0.566 0.133 0.925
0.117 0.234 0.336
0.116 0.232 0.689
0.883 0.766 0.836
0.884 0.768 0.189
0.804 0.607 0.524
0.196 0.393 0.024
```

Values from the calculation:
* V: 712.2 Å³/cell
* density: 3.8 g cm⁻³
* space-group type: Cmc2_1
* E_form (uncorrected): -11.025 eV per formula unit

The following is a DFT calculation (PBE) of a geometry-optimized CaMnCuI2 structure.

Geometry as POSCAR:
```
CaMnCuI2
1.0
-4.130 1.303 3.028
0.098 -5.739 2.603
3.295 1.753 3.741
Cu I Mn Ca
1 2 1 1
direct
0.500 0.500 0.500
0.500 0.000 0.000
0.000 0.000 0.500
0.000 0.000 0.000
0.000 0.500 0.000
```

Values from the calculation:
* V: 176.0 Å³/cell
* density: 3.9 g cm⁻³
* space-group type: P4/mmm
* E_form (uncorrected): 1.683 eV per formula unit

The following is a DFT calculation (PBE) of a geometry-optimized CaCuIN2 structure.

Geometry as POSCAR:
```
CaCuIN2
1.0
4.146 0.000 0.000
0.000 4.146 0.000
0.000 0.000 5.387
N I Ca Cu
2 1 1 1
direct
0.500 0.000 0.000
0.000 0.500 0.000
0.000 0.000 0.500
0.500 0.500 0.500
0.000 0.000 0.000
```

Values from the calculation:
* V: 92.6 Å³/cell
* energy relative to the lowest polymorph listed for this composition: 0 meV/atom
* density: 4.6 g cm⁻³
* space-group type: P4/mmm
* E_form (uncorrected): 4.548 eV per formula unit

The following is a DFT calculation (PBE) of a geometry-optimized CaCuI2N structure.

Geometry as POSCAR:
```
CaCuI2N
1.0
6.105 0.000 0.000
0.000 6.105 0.000
0.000 0.000 4.630
I Cu N Ca
2 1 1 1
direct
0.500 0.000 0.000
0.000 0.500 0.000
0.500 0.500 0.500
0.000 0.000 0.500
0.000 0.000 0.000
```

Values from the calculation:
* V: 172.6 Å³/cell
* energy relative to the lowest polymorph listed for this composition: 447 meV/atom
* density: 3.6 g cm⁻³
* space-group type: P4/mmm
* E_form (uncorrected): 2.313 eV per formula unit

The following is a DFT calculation (PBE) of a geometry-optimized CaCuIN2 structure.

Geometry as POSCAR:
```
CaCuIN2
1.0
-3.991 2.087 0.595
-1.382 -1.485 -4.065
-2.388 -5.358 2.770
N Cu Ca I
2 1 1 1
direct
0.500 0.000 0.000
0.000 0.500 0.000
0.500 0.500 0.500
0.000 0.000 0.000
0.000 0.000 0.500
```

Values from the calculation:
* V: 133.9 Å³/cell
* energy relative to the lowest polymorph listed for this composition: 405 meV/atom
* density: 3.2 g cm⁻³
* space-group type: P4/mmm
* E_form (uncorrected): 6.576 eV per formula unit

The following is a DFT calculation (PBE) of a geometry-optimized CaCuI2N structure.

Geometry as POSCAR:
```
CaCuI2N
1.0
5.750 0.000 0.000
0.000 5.750 0.000
0.000 0.000 3.791
Cu I N Ca
1 2 1 1
direct
0.000 0.000 0.000
0.500 0.000 0.000
0.000 0.500 0.000
0.000 0.000 0.500
0.500 0.500 0.500
```

Values from the calculation:
* V: 125.3 Å³/cell
* energy relative to the lowest polymorph listed for this composition: 0 meV/atom
* density: 4.9 g cm⁻³
* space-group type: P4/mmm
* E_form (uncorrected): 0.079 eV per formula unit

The following is a DFT calculation (PBE) of a geometry-optimized CaCuIO2 structure.

Geometry as POSCAR:
```
CaCuIO2
1.0
-3.894 1.765 0.027
-1.633 -3.576 -1.681
-1.069 -2.453 6.257
O I Cu Ca
2 1 1 1
direct
0.500 0.000 0.000
0.000 0.500 0.000
0.000 0.000 0.500
0.500 0.500 0.500
0.000 0.000 0.000
```

Values from the calculation:
* V: 124.4 Å³/cell
* energy relative to the lowest polymorph listed for this composition: 195 meV/atom
* density: 3.5 g cm⁻³
* space-group type: P4/mmm
* E_form (uncorrected): -1.798 eV per formula unit

The following is a DFT calculation (PBE) of a geometry-optimized CaCuI2O structure.

Geometry as POSCAR:
```
CaCuI2O
1.0
5.657 0.000 0.000
0.000 5.657 0.000
0.000 0.000 3.791
O Cu I Ca
1 1 2 1
direct
0.000 0.000 0.500
0.000 0.000 0.000
0.000 0.500 0.000
0.500 0.000 0.000
0.500 0.500 0.500
```

Values from the calculation:
* V: 121.3 Å³/cell
* energy relative to the lowest polymorph listed for this composition: 0 meV/atom
* density: 5.1 g cm⁻³
* space-group type: P4/mmm
* E_form (uncorrected): -3.287 eV per formula unit

The following is a DFT calculation (PBE) of a geometry-optimized CaCuIO2 structure.

Geometry as POSCAR:
```
CaCuIO2
1.0
-1.606 0.730 3.791
-1.837 -3.756 -0.055
4.083 -2.028 2.120
O Cu I Ca
2 1 1 1
direct
0.000 0.500 0.000
0.500 0.000 0.000
0.000 0.000 0.000
0.000 0.000 0.500
0.500 0.500 0.500
```

Values from the calculation:
* V: 87.9 Å³/cell
* energy relative to the lowest polymorph listed for this composition: 0 meV/atom
* density: 5.0 g cm⁻³
* space-group type: P4/mmm
* E_form (uncorrected): -2.770 eV per formula unit

The following is a DFT calculation (PBE) of a geometry-optimized CaCuI2O structure.

Geometry as POSCAR:
```
CaCuI2O
1.0
-0.515 -4.042 4.553
6.075 -0.034 0.658
-0.287 3.211 2.818
O Cu I Ca
1 1 2 1
direct
0.000 0.000 0.500
0.500 0.500 0.500
0.500 0.000 0.000
0.000 0.500 0.000
0.000 0.000 0.000
```

Values from the calculation:
* V: 159.9 Å³/cell
* energy relative to the lowest polymorph listed for this composition: 312 meV/atom
* density: 3.9 g cm⁻³
* space-group type: P4/mmm
* E_form (uncorrected): -1.727 eV per formula unit

The following is a DFT calculation (PBE) of a geometry-optimized CaCu2OsI structure.

Geometry as POSCAR:
```
CaCu2OsI
1.0
4.808 0.000 0.000
0.000 5.739 0.000
0.000 0.000 4.808
I Cu Ca Os
1 2 1 1
direct
0.000 0.000 0.000
0.000 0.000 0.500
0.500 0.000 0.000
0.000 0.500 0.000
0.500 0.500 0.500
```

Values from the calculation:
* V: 132.7 Å³/cell
* energy relative to the lowest polymorph listed for this composition: 804 meV/atom
* density: 6.1 g cm⁻³
* space-group type: P4/mmm
* E_form (uncorrected): 7.407 eV per formula unit

The following is a DFT calculation (PBE) of a geometry-optimized CaCu2OsI structure.

Geometry as POSCAR:
```
CaCu2OsI
1.0
4.741 0.000 0.000
0.000 5.762 0.000
0.000 0.000 4.741
Cu I Ca Os
2 1 1 1
direct
0.000 0.000 0.500
0.500 0.000 0.000
0.500 0.500 0.500
0.000 0.500 0.000
0.000 0.000 0.000
```

Values from the calculation:
* V: 129.5 Å³/cell
* energy relative to the lowest polymorph listed for this composition: 0 meV/atom
* density: 6.2 g cm⁻³
* space-group type: P4/mmm
* E_form (uncorrected): 3.387 eV per formula unit

The following is a DFT calculation (PBE) of a geometry-optimized CaCuPI2 structure.

Geometry as POSCAR:
```
CaCuPI2
1.0
-0.760 5.136 -2.202
1.175 -1.559 -4.042
-5.390 -1.261 -1.081
I Ca P Cu
2 1 1 1
direct
0.500 0.000 0.000
0.000 0.000 0.500
0.500 0.500 0.500
0.000 0.500 0.000
0.000 0.000 0.000
```

Values from the calculation:
* V: 142.8 Å³/cell
* density: 4.5 g cm⁻³
* space-group type: P4/mmm
* E_form (uncorrected): -0.803 eV per formula unit

The following is a DFT calculation (PBE) of a geometry-optimized CaCuP2I structure.

Geometry as POSCAR:
```
CaCuP2I
1.0
-2.098 1.462 3.626
4.784 -2.064 3.600
2.013 3.932 -0.421
Cu Ca P I
1 1 2 1
direct
0.000 0.000 0.000
0.000 0.500 0.000
0.000 0.000 0.500
0.500 0.000 0.000
0.500 0.500 0.500
```

Values from the calculation:
* V: 124.7 Å³/cell
* density: 3.9 g cm⁻³
* space-group type: P4/mmm
* E_form (uncorrected): -0.194 eV per formula unit

The following is a DFT calculation (PBE) of a geometry-optimized Rb2CaCuI5 structure.

Geometry as POSCAR:
```
Rb2CaCuI5
1.0
4.626 0.000 0.000
-2.313 10.782 0.000
0.000 0.000 15.285
I Rb Cu Ca
10 4 2 2
direct
0.052 0.104 0.014
0.308 0.615 0.378
0.506 0.012 0.781
0.700 0.401 0.165
0.341 0.682 0.012
0.494 0.988 0.281
0.300 0.599 0.665
0.692 0.385 0.878
0.948 0.896 0.514
0.659 0.318 0.512
0.881 0.762 0.832
0.120 0.239 0.692
0.880 0.761 0.192
0.119 0.238 0.332
0.569 0.139 0.927
0.431 0.861 0.427
0.804 0.607 0.523
0.196 0.393 0.023
```

Values from the calculation:
* V: 762.4 Å³/cell
* density: 4.0 g cm⁻³
* space-group type: Cmc2_1
* E_form (uncorrected): -11.121 eV per formula unit

The following is a DFT calculation (PBE) of a geometry-optimized Ca2CuS2I2 structure.

Geometry as POSCAR:
```
Ca2CuS2I2
1.0
4.590 0.000 0.000
0.000 4.590 0.000
-2.295 -2.295 8.706
I S Ca Cu
2 2 2 1
direct
0.185 0.185 0.369
0.815 0.815 0.631
0.500 0.000 0.000
0.000 0.500 0.000
0.607 0.607 0.214
0.393 0.393 0.786
0.000 0.000 0.000
```

Values from the calculation:
* V: 183.4 Å³/cell
* density: 4.2 g cm⁻³
* space-group type: I4/mmm
* E_form (uncorrected): -8.501 eV per formula unit

The following is a DFT calculation (PBE) of a geometry-optimized CaCuSbI2 structure.

Geometry as POSCAR:
```
CaCuSbI2
1.0
-0.747 5.349 2.362
-4.071 -2.185 3.661
4.478 -1.245 4.237
Ca Cu I Sb
1 1 2 1
direct
0.000 0.000 0.000
0.500 0.500 0.500
0.000 0.500 0.000
0.500 0.000 0.000
0.000 0.000 0.500
```

Values from the calculation:
* V: 218.5 Å³/cell
* energy relative to the lowest polymorph listed for this composition: 434 meV/atom
* density: 3.6 g cm⁻³
* space-group type: P4/mmm
* E_form (uncorrected): 1.276 eV per formula unit